--- P ---
Entry from Alexandria: crystalline OsRhSN2 at its relaxed geometry (PBE).

Structure (CIF):
```
data_OsRhSN2
_chemical_formula_sum 'Os1 Rh1 S1 N2'
_cell_length_a 3.6312
_cell_length_b 3.6312
_cell_length_c 7.0058
_cell_angle_alpha 90.00
_cell_angle_beta 90.00
_cell_angle_gamma 90.00
_symmetry_space_group_name_H-M 'P 1'
_symmetry_Int_Tables_number 1
loop_
_symmetry_equiv_pos_as_xyz
'x,y,z'
loop_
_atom_site_label
_atom_site_type_symbol
_atom_site_fract_x
_atom_site_fract_y
_atom_site_fract_z
Os1 Os 0.0000 0.0000 0.0000
Rh1 Rh 0.5000 0.5000 0.5000
S1 S 0.5000 0.5000 0.0000
N1 N 0.0000 0.5000 0.5000
N2 N 0.5000 0.0000 0.5000
```

***

--- Q ---
Entry from Alexandria: crystalline OsRhSN2 at its relaxed geometry (PBE).

Structure (CIF):
```
data_OsRhSN2
_chemical_formula_sum 'Os1 Rh1 S1 N2'
_cell_length_a 3.7252
_cell_length_b 3.7252
_cell_length_c 5.2523
_cell_angle_alpha 90.00
_cell_angle_beta 90.00
_cell_angle_gamma 90.00
_symmetry_space_group_name_H-M 'P 1'
_symmetry_Int_Tables_number 1
loop_
_symmetry_equiv_pos_as_xyz
'x,y,z'
loop_
_atom_site_label
_atom_site_type_symbol
_atom_site_fract_x
_atom_site_fract_y
_atom_site_fract_z
Os1 Os 0.0000 0.0000 0.0000
Rh1 Rh 0.5000 0.5000 0.5000
S1 S 0.0000 0.0000 0.5000
N1 N 0.0000 0.5000 0.0000
N2 N 0.5000 0.0000 0.0000
```

***

Of them, the most stable is Q and the least stable is P.

***

--- P ---
Entry from Alexandria: crystalline Os2RuN2 at its relaxed geometry (PBE).

Structure (CIF):
```
data_Os2RuN2
_chemical_formula_sum 'Os4 Ru2 N4'
_cell_length_a 6.6207
_cell_length_b 6.6207
_cell_length_c 2.7062
_cell_angle_alpha 90.00
_cell_angle_beta 90.00
_cell_angle_gamma 90.00
_symmetry_space_group_name_H-M 'P 1'
_symmetry_Int_Tables_number 1
loop_
_symmetry_equiv_pos_as_xyz
'x,y,z'
loop_
_atom_site_label
_atom_site_type_symbol
_atom_site_fract_x
_atom_site_fract_y
_atom_site_fract_z
Os1 Os 0.1384 0.3616 0.0000
Os2 Os 0.3616 0.8616 0.0000
Os3 Os 0.6384 0.1384 0.0000
Os4 Os 0.8616 0.6384 0.0000
Ru1 Ru 0.0000 0.0000 0.0000
Ru2 Ru 0.5000 0.5000 0.0000
N1 N 0.1241 0.6241 0.5000
N2 N 0.3759 0.1241 0.5000
N3 N 0.6241 0.8759 0.5000
N4 N 0.8759 0.3759 0.5000
```

***

--- Q ---
Entry from Alexandria: crystalline Os2RuN2 at its relaxed geometry (PBE).

Structure (CIF):
```
data_Os2RuN2
_chemical_formula_sum 'Os2 Ru1 N2'
_cell_length_a 5.6120
_cell_length_b 5.6120
_cell_length_c 5.6120
_cell_angle_alpha 144.94
_cell_angle_beta 144.94
_cell_angle_gamma 50.42
_symmetry_space_group_name_H-M 'P 1'
_symmetry_Int_Tables_number 1
loop_
_symmetry_equiv_pos_as_xyz
'x,y,z'
loop_
_atom_site_label
_atom_site_type_symbol
_atom_site_fract_x
_atom_site_fract_y
_atom_site_fract_z
Os1 Os 0.1335 0.1335 0.0000
Os2 Os 0.8665 0.8665 0.0000
Ru1 Ru 0.5000 0.5000 0.0000
N1 N 0.2500 0.7500 0.5000
N2 N 0.7500 0.2500 0.5000
```

***

Of them, the most stable is Q and the least stable is P.

***

--- P ---
Entry from Alexandria: crystalline OsRu2N2 at its relaxed geometry (PBE).

Structure (CIF):
```
data_OsRu2N2
_chemical_formula_sum 'Os1 Ru2 N2'
_cell_length_a 4.7571
_cell_length_b 4.7571
_cell_length_c 4.7571
_cell_angle_alpha 128.33
_cell_angle_beta 128.33
_cell_angle_gamma 76.09
_symmetry_space_group_name_H-M 'P 1'
_symmetry_Int_Tables_number 1
loop_
_symmetry_equiv_pos_as_xyz
'x,y,z'
loop_
_atom_site_label
_atom_site_type_symbol
_atom_site_fract_x
_atom_site_fract_y
_atom_site_fract_z
Os1 Os 0.0000 0.0000 0.0000
Ru1 Ru 0.2500 0.7500 0.5000
Ru2 Ru 0.7500 0.2500 0.5000
N1 N 0.2634 0.2634 0.0000
N2 N 0.7366 0.7366 0.0000
```

***

--- Q ---
Entry from Alexandria: crystalline OsRu2N2 at its relaxed geometry (PBE).

Structure (CIF):
```
data_OsRu2N2
_chemical_formula_sum 'Os2 Ru4 N4'
_cell_length_a 6.3526
_cell_length_b 6.3526
_cell_length_c 2.7906
_cell_angle_alpha 90.00
_cell_angle_beta 90.00
_cell_angle_gamma 90.00
_symmetry_space_group_name_H-M 'P 1'
_symmetry_Int_Tables_number 1
loop_
_symmetry_equiv_pos_as_xyz
'x,y,z'
loop_
_atom_site_label
_atom_site_type_symbol
_atom_site_fract_x
_atom_site_fract_y
_atom_site_fract_z
Os1 Os 0.0000 0.0000 0.0000
Os2 Os 0.5000 0.5000 0.0000
Ru1 Ru 0.1592 0.3408 0.5000
Ru2 Ru 0.3408 0.8408 0.5000
Ru3 Ru 0.6592 0.1592 0.5000
Ru4 Ru 0.8408 0.6592 0.5000
N1 N 0.1812 0.6812 0.0000
N2 N 0.3188 0.1812 0.0000
N3 N 0.6812 0.8188 0.0000
N4 N 0.8188 0.3188 0.0000
```

***

Of them, the most stable is P and the least stable is Q.

***

--- P ---
Entry from Alexandria: crystalline OsRu3N at its relaxed geometry (PBE).

Structure (CIF):
```
data_OsRu3N
_chemical_formula_sum 'Os1 Ru3 N1'
_cell_length_a 4.0056
_cell_length_b 4.0056
_cell_length_c 4.0056
_cell_angle_alpha 90.00
_cell_angle_beta 90.00
_cell_angle_gamma 90.00
_symmetry_space_group_name_H-M 'P 1'
_symmetry_Int_Tables_number 1
loop_
_symmetry_equiv_pos_as_xyz
'x,y,z'
loop_
_atom_site_label
_atom_site_type_symbol
_atom_site_fract_x
_atom_site_fract_y
_atom_site_fract_z
Os1 Os 0.0000 0.0000 0.0000
Ru1 Ru 0.0000 0.5000 0.5000
Ru2 Ru 0.5000 0.0000 0.5000
Ru3 Ru 0.5000 0.5000 0.0000
N1 N 0.5000 0.5000 0.5000
```

***

--- Q ---
Entry from Alexandria: crystalline OsRu3N at its relaxed geometry (PBE).

Structure (CIF):
```
data_OsRu3N
_chemical_formula_sum 'Os1 Ru3 N1'
_cell_length_a 4.7165
_cell_length_b 4.7165
_cell_length_c 4.7165
_cell_angle_alpha 90.00
_cell_angle_beta 90.00
_cell_angle_gamma 90.00
_symmetry_space_group_name_H-M 'P 1'
_symmetry_Int_Tables_number 1
loop_
_symmetry_equiv_pos_as_xyz
'x,y,z'
loop_
_atom_site_label
_atom_site_type_symbol
_atom_site_fract_x
_atom_site_fract_y
_atom_site_fract_z
Os1 Os 0.0000 0.0000 0.0000
Ru1 Ru 0.0000 0.0000 0.5000
Ru2 Ru 0.0000 0.5000 0.0000
Ru3 Ru 0.5000 0.0000 0.0000
N1 N 0.5000 0.5000 0.5000
```

***

Of them, the most stable is P and the least stable is Q.

***

--- P ---
Entry from Alexandria: crystalline OsRuSN2 at its relaxed geometry (PBE).

Structure (CIF):
```
data_OsRuSN2
_chemical_formula_sum 'Os1 Ru1 S1 N2'
_cell_length_a 3.7415
_cell_length_b 3.7415
_cell_length_c 5.2586
_cell_angle_alpha 90.00
_cell_angle_beta 90.00
_cell_angle_gamma 90.00
_symmetry_space_group_name_H-M 'P 1'
_symmetry_Int_Tables_number 1
loop_
_symmetry_equiv_pos_as_xyz
'x,y,z'
loop_
_atom_site_label
_atom_site_type_symbol
_atom_site_fract_x
_atom_site_fract_y
_atom_site_fract_z
Os1 Os 0.0000 0.0000 0.0000
Ru1 Ru 0.5000 0.5000 0.5000
S1 S 0.0000 0.0000 0.5000
N1 N 0.0000 0.5000 0.0000
N2 N 0.5000 0.0000 0.0000
```

***

--- Q ---
Entry from Alexandria: crystalline OsRuSN2 at its relaxed geometry (PBE).

Structure (CIF):
```
data_OsRuSN2
_chemical_formula_sum 'Os1 Ru1 S1 N2'
_cell_length_a 3.7174
_cell_length_b 3.7174
_cell_length_c 5.2369
_cell_angle_alpha 90.00
_cell_angle_beta 90.00
_cell_angle_gamma 90.00
_symmetry_space_group_name_H-M 'P 1'
_symmetry_Int_Tables_number 1
loop_
_symmetry_equiv_pos_as_xyz
'x,y,z'
loop_
_atom_site_label
_atom_site_type_symbol
_atom_site_fract_x
_atom_site_fract_y
_atom_site_fract_z
Os1 Os 0.0000 0.0000 0.0000
Ru1 Ru 0.5000 0.5000 0.5000
S1 S 0.5000 0.5000 0.0000
N1 N 0.0000 0.5000 0.5000
N2 N 0.5000 0.0000 0.5000
```

***

Of them, the most stable is P and the least stable is Q.

***

--- P ---
Entry from Alexandria: crystalline OsRuSe2N at its relaxed geometry (PBE).

Structure (CIF):
```
data_OsRuSe2N
_chemical_formula_sum 'Os1 Ru1 Se2 N1'
_cell_length_a 4.9493
_cell_length_b 4.9493
_cell_length_c 3.5675
_cell_angle_alpha 90.00
_cell_angle_beta 90.00
_cell_angle_gamma 90.00
_symmetry_space_group_name_H-M 'P 1'
_symmetry_Int_Tables_number 1
loop_
_symmetry_equiv_pos_as_xyz
'x,y,z'
loop_
_atom_site_label
_atom_site_type_symbol
_atom_site_fract_x
_atom_site_fract_y
_atom_site_fract_z
Os1 Os 0.0000 0.0000 0.0000
Ru1 Ru 0.5000 0.5000 0.5000
Se1 Se 0.0000 0.5000 0.5000
Se2 Se 0.5000 0.0000 0.5000
N1 N 0.5000 0.5000 0.0000
```

***

--- Q ---
Entry from Alexandria: crystalline OsRuSe2N at its relaxed geometry (PBE).

Structure (CIF):
```
data_OsRuSe2N
_chemical_formula_sum 'Os1 Ru1 Se2 N1'
_cell_length_a 5.0189
_cell_length_b 5.0189
_cell_length_c 3.6331
_cell_angle_alpha 90.00
_cell_angle_beta 90.00
_cell_angle_gamma 90.00
_symmetry_space_group_name_H-M 'P 1'
_symmetry_Int_Tables_number 1
loop_
_symmetry_equiv_pos_as_xyz
'x,y,z'
loop_
_atom_site_label
_atom_site_type_symbol
_atom_site_fract_x
_atom_site_fract_y
_atom_site_fract_z
Os1 Os 0.0000 0.0000 0.0000
Ru1 Ru 0.5000 0.5000 0.5000
Se1 Se 0.0000 0.5000 0.0000
Se2 Se 0.5000 0.0000 0.0000
N1 N 0.0000 0.0000 0.5000
```

***

Of them, the most stable is Q and the least stable is P.

***

--- P ---
Entry from Alexandria: crystalline TeOsRuN2 at its relaxed geometry (PBE).

Structure (CIF):
```
data_TeOsRuN2
_chemical_formula_sum 'Te1 Os1 Ru1 N2'
_cell_length_a 3.7801
_cell_length_b 3.7801
_cell_length_c 6.0167
_cell_angle_alpha 90.00
_cell_angle_beta 90.00
_cell_angle_gamma 90.00
_symmetry_space_group_name_H-M 'P 1'
_symmetry_Int_Tables_number 1
loop_
_symmetry_equiv_pos_as_xyz
'x,y,z'
loop_
_atom_site_label
_atom_site_type_symbol
_atom_site_fract_x
_atom_site_fract_y
_atom_site_fract_z
Te1 Te 0.0000 0.0000 0.0000
Os1 Os 0.0000 0.0000 0.5000
Ru1 Ru 0.5000 0.5000 0.0000
N1 N 0.0000 0.5000 0.5000
N2 N 0.5000 0.0000 0.5000
```

***

--- Q ---
Entry from Alexandria: crystalline TeOsRuN2 at its relaxed geometry (PBE).

Structure (CIF):
```
data_TeOsRuN2
_chemical_formula_sum 'Te1 Os1 Ru1 N2'
_cell_length_a 3.7772
_cell_length_b 3.7772
_cell_length_c 6.0661
_cell_angle_alpha 90.00
_cell_angle_beta 90.00
_cell_angle_gamma 90.00
_symmetry_space_group_name_H-M 'P 1'
_symmetry_Int_Tables_number 1
loop_
_symmetry_equiv_pos_as_xyz
'x,y,z'
loop_
_atom_site_label
_atom_site_type_symbol
_atom_site_fract_x
_atom_site_fract_y
_atom_site_fract_z
Te1 Te 0.0000 0.0000 0.0000
Os1 Os 0.5000 0.5000 0.0000
Ru1 Ru 0.0000 0.0000 0.5000
N1 N 0.0000 0.5000 0.5000
N2 N 0.5000 0.0000 0.5000
```

***

Of them, the most stable is P and the least stable is Q.

***

--- P ---
Entry from Alexandria: crystalline Te2OsRuN at its relaxed geometry (PBE).

Structure (CIF):
```
data_Te2OsRuN
_chemical_formula_sum 'Te2 Os1 Ru1 N1'
_cell_length_a 5.3029
_cell_length_b 5.3029
_cell_length_c 3.6190
_cell_angle_alpha 90.00
_cell_angle_beta 90.00
_cell_angle_gamma 90.00
_symmetry_space_group_name_H-M 'P 1'
_symmetry_Int_Tables_number 1
loop_
_symmetry_equiv_pos_as_xyz
'x,y,z'
loop_
_atom_site_label
_atom_site_type_symbol
_atom_site_fract_x
_atom_site_fract_y
_atom_site_fract_z
Te1 Te 0.0000 0.5000 0.0000
Te2 Te 0.5000 0.0000 0.0000
Os1 Os 0.0000 0.0000 0.0000
Ru1 Ru 0.5000 0.5000 0.5000
N1 N 0.0000 0.0000 0.5000
```

***

--- Q ---
Entry from Alexandria: crystalline Te2OsRuN at its relaxed geometry (PBE).

Structure (CIF):
```
data_Te2OsRuN
_chemical_formula_sum 'Te2 Os1 Ru1 N1'
_cell_length_a 5.2407
_cell_length_b 5.2407
_cell_length_c 3.5756
_cell_angle_alpha 90.00
_cell_angle_beta 90.00
_cell_angle_gamma 90.00
_symmetry_space_group_name_H-M 'P 1'
_symmetry_Int_Tables_number 1
loop_
_symmetry_equiv_pos_as_xyz
'x,y,z'
loop_
_atom_site_label
_atom_site_type_symbol
_atom_site_fract_x
_atom_site_fract_y
_atom_site_fract_z
Te1 Te 0.0000 0.5000 0.0000
Te2 Te 0.5000 0.0000 0.0000
Os1 Os 0.0000 0.0000 0.5000
Ru1 Ru 0.5000 0.5000 0.0000
N1 N 0.5000 0.5000 0.5000
```

***

Of them, the most stable is P and the least stable is Q.